(1)
Material: Sm8Ho2Th3
Method: DFT, GGA-PBE
State: relaxed

Cell: 20.0919 7.8796 5.6986 Å, 90.00 90.02 90.00°
Last column: nearest neighbours and their distance in Å.
Space group C2/m (No. 12)
Unique sites:
Sm: 0.1072 0.2062 0.0002  1 Th 3.16, 3 Sm 3.25-3.51, 2 Ho 3.47-3.54
Sm: 0.1294 0.5000 0.4998  4 Th 3.47-3.86, 2 Ho 3.62, 4 Sm 3.70
Sm: 0.1698 0.0000 0.5005  2 Ho 3.37, 4 Sm 3.51
Ho: 0.2403 0.5000 0.9994  8 Sm 3.37-3.62
Th: 0.0000 0.2081 0.5000  3 Th 3.28-3.66, 6 Sm 3.47-3.57
Th: 0.0000 0.5000 0.0000  4 Sm 3.16

Results
volume: 902.2 Å³ per cell
DOS at the Fermi energy: 1.7151 states/eV per atom
raw total energy: -5.06 eV per atom
mass density: 8205 kg/m3


(2)
Material: DySbF
Method: DFT, GGA-PBE
State: relaxed

Cell: 4.3726 6.9189 7.0733 Å, 60.77 89.94 89.94°
Last column: nearest neighbours and their distance in Å.
Space group P-1 (No. 2)
Unique sites:
Dy: 0.0000 0.2439 0.2511  2 F 2.20
Sb: 0.4996 0.1202 0.6259  1 Sb 2.97, 4 Dy 3.12-3.21
F: 0.0001 0.3926 0.8957  2 Dy 2.20

Results
volume: 186.8 Å³ per cell
DOS at the Fermi energy: 0.0632 states/eV per atom
raw total energy: -5.51 eV per atom
mass density: 5393 kg/m3
formation energy without anion corrections: -1.974 eV/atom


(3)
Material: YTlSe2
Method: DFT, GGA-PBE
State: relaxed

Cell: 7.5607 7.5607 10.6098 Å, 90.00 90.00 90.00°
Last column: nearest neighbours and their distance in Å.
Space group I-42d (No. 122)
Unique sites:
Y: 0.0000 0.0000 0.0000  4 Se 2.73
Tl: 0.0000 0.0000 0.5000  4 Se 3.27
Se: 0.1936 0.7500 0.1250  2 Y 2.73

Results
volume: 606.5 Å³ per cell
DOS at the Fermi energy: 0.0000 states/eV per atom
raw total energy: -5.11 eV per atom
mass density: 4941 kg/m3
formation energy without anion corrections: -1.156 eV/atom